{
  "formula": "Cr2HgAs",
  "functional": "PBE",
  "state": "optimized geometry",
  "e_above_lowest_polymorph_ev_per_atom": 0.203,
  "delta_e_f_ev_per_atom": 0.40,
  "dos_ef_per_ev_atom": 0.800,
  "lattice": [[4.525, 0.033, -0.011], [-0.035, 4.525, -0.011], [0.010, 0.010, 3.537]],
  "species": ["Hg", "Cr", "As", "Cr"],
  "frac_coords": [[0.500, 0.000, 0.500], [0.500, 0.500, 0.000], [0.000, 0.500, 0.500], [0.000, 0.000, 0.000]]
}